{
  "formula": "Nd2IBrN",
  "functional": "GGA-PBE",
  "state": "optimized geometry",
  "dft_energy_ev_per_fu": -28.49,
  "crystal_system": "trigonal",
  "magmom_total_mub_per_fu": 0.02,
  "lattice": [[-0.490, -3.511, -1.538], [-0.628, 0.562, 3.771], [-10.059, 2.287, -2.016]],
  "species": ["I", "N", "Nd", "Br", "Nd"],
  "fractional_positions": [[0.667, 0.333, 0.338], [0.000, 0.000, 0.993], [0.333, 0.667, 0.125], [0.333, 0.667, 0.677], [0.667, 0.333, 0.867]]
}

***

{
  "formula": "Zn2Ga2Sn3",
  "functional": "GGA-PBE",
  "state": "optimized geometry",
  "dft_energy_ev_per_fu": -19.53,
  "crystal_system": "trigonal",
  "lattice": [[-6.911, 3.416, 3.416], [-3.416, 3.416, 6.911], [-3.416, 6.911, 3.416]],
  "species": ["Sn", "Ga", "Sn", "Ga", "Zn", "Zn", "Sn"],
  "fractional_positions": [[0.375, 0.375, 0.375], [0.495, 0.495, 0.495], [0.625, 0.625, 0.625], [0.007, 0.007, 0.007], [0.244, 0.244, 0.244], [0.755, 0.755, 0.755], [0.874, 0.874, 0.874]]
}